DFT (PBE) results for a geometry-optimized Na10B13C7 structure.

Computed properties:
DFT formation energy = 2.074 kcal/mol of atoms
calculated density = 2.465 Mg/m³
distance to the lowest polymorph of the same formula = 0.0046 eV per atom

Geometry as CIF:
```
data_Na10B13C7
_chemical_formula_sum 'Na20 B26 C14'
_symmetry_space_group_name_H-M 'C 1 m 1'
_symmetry_Int_Tables_number 8
_symmetry_space_group_name_Hall 'C -2y'
_cell_length_a 17.825
_cell_length_b 2.828
_cell_length_c 13.255
_cell_angle_alpha 90.00
_cell_angle_beta 113.60
_cell_angle_gamma 90.00
loop_
_atom_site_label
_atom_site_type_symbol
_atom_site_fract_x
_atom_site_fract_y
_atom_site_fract_z
_atom_site_occupancy
Na1 Na 0.000 0.000 0.000 1
Na2 Na 0.001 0.000 0.500 1
Na3 Na 0.099 0.500 0.200 1
Na4 Na 0.102 0.500 0.699 1
Na5 Na 0.198 0.000 0.403 1
Na6 Na 0.200 0.000 0.900 1
Na7 Na 0.298 0.500 0.603 1
Na8 Na 0.301 0.500 0.101 1
Na9 Na 0.399 0.000 0.801 1
Na10 Na 0.402 0.000 0.301 1
B1 B 0.030 0.000 0.313 1
B2 B 0.059 0.500 0.868 1
B3 B 0.127 0.500 0.506 1
B4 B 0.128 0.500 0.005 1
B5 B 0.167 0.000 0.587 1
B6 B 0.169 0.000 0.089 1
B7 B 0.235 0.000 0.220 1
B8 B 0.239 0.000 0.730 1
B9 B 0.278 0.500 0.306 1
B10 B 0.338 0.500 0.924 1
B11 B 0.370 0.000 0.491 1
B12 B 0.434 0.000 0.119 1
B13 B 0.464 0.500 0.679 1
C1 C 0.028 0.000 0.807 1
C2 C 0.062 0.500 0.377 1
C3 C 0.271 0.500 0.793 1
C4 C 0.339 0.500 0.428 1
C5 C 0.370 0.000 0.987 1
C6 C 0.433 0.000 0.618 1
C7 C 0.466 0.500 0.183 1
```